! HfSiPt | Alexandria | PBE | relaxed; values from VASP
! Symmetry ... No. 44
! ΔE_f (raw) ... -1.057 eV per atom
! Crystal system ... orthorhombic
&SYSTEM
  ibrav = 0, nat = 12, ntyp = 3
/
ATOMIC_SPECIES
Si 28.09 Si.upf
Hf 178.49 Hf.upf
Pt 195.08 Pt.upf
CELL_PARAMETERS angstrom
-1.427 3.748 -0.814
1.300 -0.926 -6.546
-6.666 -2.741 -0.936
ATOMIC_POSITIONS crystal
Si 0.000 0.719 0.215
Si 0.500 0.781 0.715
Si 0.500 0.219 0.715
Si 0.000 0.281 0.215
Hf 0.500 0.500 0.409
Hf 0.000 0.000 0.909
Hf 0.500 0.000 0.327
Hf 0.000 0.500 0.827
Pt 0.000 0.793 0.541
Pt 0.000 0.207 0.541
Pt 0.500 0.293 0.041
Pt 0.500 0.707 0.041